Compound: B3Ir5Rh
Source: Alexandria
Functional: PBE
Structure: optimized geometry

a = 6.731 Å, b = 6.798 Å, c = 6.798 Å
α = 63.82°, β = 68.47°, γ = 101.38°
Atoms (fractional coordinates):
B: 0.910 0.335 0.426
B: 0.321 0.321 0.999
B: 0.000 0.000 0.000
B: 0.500 0.000 0.500
B: 0.090 0.665 0.574
B: 0.679 0.679 0.001
Ir: 0.329 0.040 0.288
Ir: 0.000 0.707 0.293
Ir: 0.950 0.159 0.208
Ir: 0.301 0.495 0.194
Ir: 0.699 0.505 0.806
Ir: 0.050 0.841 0.792
Ir: 0.329 0.617 0.711
Ir: 0.000 0.293 0.707
Ir: 0.671 0.960 0.712
Ir: 0.671 0.383 0.289
Rh: 0.624 0.834 0.210
Rh: 0.376 0.166 0.790

## Properties
Symmetry   C2/m
DOS at the Fermi energy   0.8502 states/eV per atom
Energy of formation from the pure elements   0.07 eV/atom